1.
Pr3CoPb: optimized geometry, PBE.

Computed properties:
Size of the total moment, Bohr magnetons per cell: 0.00
Fermi-level density of states, states/eV/atom: 0.900
SG: P-1 (2)
ΔH_f (0 K), eV per atom: -0.24

Cell: 7.1905 6.4013 8.8460 Å, 89.84 46.42 81.14°
Element x y z (fractional)
Pr 0.2622 0.6960 0.9079
Pr 0.4829 0.9631 0.4559
Pr 0.9435 0.2333 0.0232
Pr 0.9525 0.9836 0.4750
Pr 0.4739 0.2128 0.0041
Pr 0.1642 0.5004 0.5712
Pb 0.8381 0.5039 0.4112
Pb 0.5883 0.6925 0.0679
Co 0.9719 0.9078 0.7839
Co 0.4545 0.2887 0.6952



2.
CoPt3Pb: optimized geometry, PBE.

Computed properties:
Size of the total moment, Bohr magnetons per cell: 3.14
Fermi-level density of states, states/eV/atom: 0.935
SG: Pm-3m (221)
ΔH_f (0 K), eV per atom: 0.59

Cell: 4.6697 4.6697 4.6697 Å, 90.00 90.00 90.00°
Last column: magnetic moment on the atom in μB.
Element x y z (fractional)
Co 0.0000 0.0000 0.0000  1.92
Pt 0.0000 0.0000 0.5000  0.55
Pt 0.5000 0.0000 0.0000  0.18
Pt 0.0000 0.5000 0.0000  0.42
Pb 0.5000 0.5000 0.5000  0.01